# La2Si4Pt3Rh, optimized geometry, DFT PBE-GGA
data_La2Si4Pt3Rh
_symmetry_space_group_name_H-M 'P -4 m 2'
_symmetry_Int_Tables_number 115
_cell_length_a 4.2699
_cell_length_b 4.2699
_cell_length_c 10.0014
_cell_angle_alpha 90.00
_cell_angle_beta 90.00
_cell_angle_gamma 90.00
loop_
_symmetry_equiv_pos_as_xyz
'x,y,z'
'y,-x,-z'
'-x,-y,z'
'-y,x,-z'
'-x,y,z'
'-y,-x,-z'
'x,-y,z'
'y,x,-z'
loop_
_atom_site_label
_atom_site_fract_x
_atom_site_fract_y
_atom_site_fract_z
_atom_site_occupancy
La1 0.0000 0.5000 0.2444 1
Si1 0.0000 0.0000 0.0000 1
Si2 0.0000 0.5000 0.6286 1
Si3 0.5000 0.5000 0.0000 1
Pt1 0.0000 0.5000 0.8778 1
Pt2 0.5000 0.5000 0.5000 1
Rh1 0.0000 0.0000 0.5000 1
# - Total magnetic moment: 0.00 μB per cell
# - Uncorrected formation energy: -108.78 kJ per mole of atoms

---

# NaNd2PtO5, optimized geometry, DFT PBE-GGA
data_NaNd2PtO5
_symmetry_space_group_name_H-M 'P 4/m b m'
_symmetry_Int_Tables_number 127
_symmetry_space_group_name_Hall '-P 4 2ab'
_cell_length_a 6.8307
_cell_length_b 6.8307
_cell_length_c 5.8573
_cell_angle_alpha 90.00
_cell_angle_beta 90.00
_cell_angle_gamma 90.00
loop_
_atom_site_label
_atom_site_fract_x
_atom_site_fract_y
_atom_site_fract_z
_atom_site_occupancy
Na1 0.0000 0.0000 0.0000 1
Nd1 0.1770 0.3230 0.5000 1
Pt1 0.0000 0.5000 0.0000 1
O1 0.0000 0.0000 0.5000 1
O2 0.1353 0.6353 0.2535 1
# - Total magnetic moment: 2.02 μB per cell
# - Uncorrected formation energy: -212.22 kJ per mole of atoms

---

# CsNa3Hg2, optimized geometry, DFT PBE-GGA
data_CsNa3Hg2
_symmetry_space_group_name_H-M 'C 1 2/m 1'
_symmetry_Int_Tables_number 12
_cell_length_a 18.9549
_cell_length_b 5.2614
_cell_length_c 10.1902
_cell_angle_alpha 90.00
_cell_angle_beta 115.26
_cell_angle_gamma 90.00
loop_
_symmetry_equiv_pos_as_xyz
'x,y,z'
'-x,-y,-z'
'-x,y,-z'
'x,-y,z'
'x+1/2,y+1/2,z'
'-x+1/2,-y+1/2,-z'
'-x+1/2,y+1/2,-z'
'x+1/2,-y+1/2,z'
loop_
_atom_site_label
_atom_site_fract_x
_atom_site_fract_y
_atom_site_fract_z
_atom_site_occupancy
Cs1 0.1542 0.0000 0.0661 1
Na1 0.0399 0.0000 0.3638 1
Na2 0.0886 0.5000 0.6736 1
Na3 0.1855 0.5000 0.4531 1
Hg1 0.0225 0.5000 0.1628 1
Hg2 0.1843 0.0000 0.6766 1
# - Total magnetic moment: 0.00 μB per cell
# - Energy relative to the lowest polymorph listed for this composition: 0 meV/atom